The following is a DFT calculation (GGA-PBE) of a relaxed AgSnAuSe3 crystal.

Unit cell a=8.204 b=8.204 c=8.603 alpha=90.00 beta=90.00 gamma=151.60
Sites, in units of the cell vectors:
Ag1 0.033 0.967 0.750
Ag2 0.967 0.033 0.250
Sn1 0.249 0.751 0.250
Sn2 0.751 0.249 0.750
Au1 0.500 0.500 0.000
Au2 0.500 0.500 0.500
Se1 0.166 0.834 0.564
Se2 0.166 0.834 0.936
Se3 0.415 0.585 0.750
Se4 0.585 0.415 0.250
Se5 0.834 0.166 0.064
Se6 0.834 0.166 0.436

total energy	-3.458	eV per atom